HgBi3C: relaxed, PBE.

a b c (Å): 5.7311 5.7311 5.7311
angles (deg): 90.00 90.00 90.00
Closest atoms and distances in Å follow each position.
Fractional coordinates of all 5 atoms:
C: 0.5000 0.5000 0.5000  12 Bi 4.05
Bi: 0.0000 0.0000 0.5000  2 Hg 2.87
Bi: 0.0000 0.5000 0.0000  2 Hg 2.87
Bi: 0.5000 0.0000 0.0000  2 Hg 2.87
Hg: 0.0000 0.0000 0.0000  6 Bi 2.87

The mass density is 7.4 g cm⁻³. The calculated total energy comes out at -2.23 eV per atom. As for the formation enthalpy at 0 K: 2005 meV per atom. Its total magnetization is 1.36 μB/cell. The value obtained for the offset from the most stable computed form is 1104 meV/atom.